Entry 1:
Material: Nb2HRh
Method: DFT, GGA-PBE
State: relaxed

Calculated values
Raw total energy ... -7.5649 eV/atom
Crystal system ... trigonal

The structure in POSCAR format:
```
Nb2HRh
1.0
-1.348 -0.330 2.517
-2.755 -0.817 0.059
0.838 -7.804 1.067
Nb H Rh
2 1 1
direct
0.107 0.107 0.678
0.893 0.893 0.322
0.500 0.500 0.500
0.000 0.000 0.000
```



Entry 2:
Material: CePu2Ni
Method: DFT, GGA-PBE
State: relaxed

Calculated values
Raw total energy ... -10.0703 eV/atom
Energy of formation ... 0.024 eV/atom
Crystal system ... tetragonal

The structure in POSCAR format:
```
CePu2Ni
1.0
3.436 0.000 0.000
0.000 3.436 0.000
0.000 0.000 7.196
Ni Pu Ce
1 2 1
direct
0.500 0.500 0.000
0.000 0.000 0.785
0.000 0.000 0.215
0.500 0.500 0.500
```



Entry 3:
Material: Hf4Sb5H2
Method: DFT, GGA-PBE
State: relaxed

Calculated values
Raw total energy ... -6.3129 eV/atom
Crystal system ... monoclinic

The structure in POSCAR format:
```
Hf4Sb5H2
1.0
-1.202 -2.724 -1.240
7.946 -2.354 -2.533
0.871 -2.181 8.144
Hf Sb H
4 5 2
direct
0.345 0.428 0.689
0.006 0.300 0.012
0.655 0.572 0.311
0.994 0.700 0.988
0.177 0.291 0.354
0.500 0.000 0.000
0.836 0.127 0.673
0.823 0.709 0.646
0.164 0.873 0.327
0.540 0.609 0.079
0.460 0.391 0.921
```



Entry 4:
Material: AgMoC3
Method: DFT, GGA-PBE
State: relaxed

Calculated values
Raw total energy ... -6.3107 eV/atom
Energy of formation ... 1.960 eV/atom
Crystal system ... cubic

The structure in POSCAR format:
```
AgMoC3
1.0
-1.611 -0.248 -3.783
3.154 -2.368 -1.188
-2.103 -3.362 1.116
C Mo Ag
3 1 1
direct
0.000 0.000 0.500
0.000 0.500 0.000
0.500 0.000 0.000
0.000 0.000 0.000
0.500 0.500 0.500
```



Entry 5:
Material: LiSm4Sc3S8
Method: DFT, GGA-PBE
State: relaxed

Calculated values
Raw total energy ... -6.4564 eV/atom
Raw formation energy ... -183.9 kJ/mol of atoms
Crystal system ... trigonal

The structure in POSCAR format:
```
LiSm4Sc3S8
1.0
-0.034 -2.145 7.398
-7.002 -3.111 -0.934
5.797 -2.132 -4.602
S Sm Li Sc
8 4 1 3
direct
0.241 0.725 0.983
0.742 0.725 0.983
0.258 0.275 0.017
0.241 0.725 0.482
0.742 0.726 0.484
0.258 0.274 0.516
0.759 0.275 0.017
0.759 0.275 0.518
0.000 0.000 0.000
0.500 0.000 0.000
0.000 0.000 0.500
0.500 0.000 0.500
0.000 0.500 0.000
0.500 0.500 0.500
0.000 0.500 0.500
0.500 0.500 0.000
```



Entry 6:
Material: ReGe
Method: DFT, GGA-PBE
State: relaxed

Calculated values
Raw total energy ... -7.5608 eV/atom
Energy of formation ... 0.972 eV/atom
Crystal system ... hexagonal

The structure in POSCAR format:
```
ReGe
1.0
4.284 0.000 0.000
-2.142 3.710 0.000
0.000 0.000 5.003
Re Ge
2 2
direct
0.333 0.667 0.750
0.667 0.333 0.250
0.667 0.333 0.750
0.333 0.667 0.250
```



Entry 7:
Material: Cd2H2SO6
Method: DFT, GGA-PBE
State: relaxed

Calculated values
Raw total energy ... -5.1193 eV/atom
Crystal system ... monoclinic

The structure in POSCAR format:
```
Cd2H2SO6
1.0
7.617 0.000 0.000
0.000 7.099 0.022
0.000 5.785 10.109
O H Cd S
24 8 8 4
direct
0.434 0.821 0.126
0.561 0.962 0.366
0.310 0.470 0.475
0.061 0.038 0.134
0.097 0.665 0.184
0.903 0.335 0.816
0.484 0.738 0.861
0.196 0.198 0.811
0.439 0.038 0.634
0.016 0.738 0.361
0.804 0.802 0.189
0.190 0.470 0.975
0.984 0.262 0.639
0.690 0.530 0.525
0.939 0.962 0.866
0.810 0.530 0.025
0.566 0.179 0.874
0.403 0.665 0.684
0.696 0.802 0.689
0.516 0.262 0.139
0.066 0.821 0.626
0.304 0.198 0.311
0.934 0.179 0.374
0.597 0.335 0.316
0.714 0.424 0.048
0.824 0.259 0.365
0.214 0.576 0.452
0.324 0.741 0.135
0.676 0.259 0.865
0.286 0.576 0.952
0.786 0.424 0.548
0.176 0.741 0.635
0.961 0.651 0.833
0.164 0.172 0.505
0.336 0.172 0.005
0.664 0.828 0.995
0.836 0.828 0.495
0.039 0.349 0.167
0.539 0.651 0.333
0.461 0.349 0.667
0.495 0.190 0.282
0.995 0.810 0.218
0.505 0.810 0.718
0.005 0.190 0.782
```



Entry 8:
Material: AcPmAgPt
Method: DFT, GGA-PBE
State: relaxed

Calculated values
Raw total energy ... -5.0579 eV/atom
Energy of formation ... -0.620 eV/atom
Crystal system ... cubic

The structure in POSCAR format:
```
AcPmAgPt
1.0
5.316 0.000 0.000
2.658 4.604 0.000
2.658 1.535 4.340
Ag Pm Pt Ac
1 1 1 1
direct
0.750 0.750 0.750
0.500 0.500 0.500
0.250 0.250 0.250
0.000 0.000 0.000
```